1.
Compound: HfC2I
Source: the Alexandria database
Functional: PBE
Structure: optimized geometry

The structure belongs to space group I-42d (No. 122); the cell edges are 5.246, 5.246 and 10.906 Å and the angles 90.00°, 90.00° and 90.00°. The distinct sites, in fractional coordinates, are Hf at (0.000, 0.000, 0.000), C at (0.207, 0.250, 0.125) and I at (0.000, 0.000, 0.500).

For the energy above the most stable polymorph in this dataset, the calculation gives 0.000 eV per atom. The formation energy from raw total energies comes out at 1396 meV per atom.

2.
Compound: Si2IrAu
Source: the Alexandria database
Functional: PBE
Structure: optimized geometry

The structure belongs to space group Cm (No. 8); the cell edges are 8.562, 3.005 and 6.265 Å and the angles 90.00°, 125.31° and 90.00°. The distinct sites, in fractional coordinates, are Si at (0.000, 0.000, 0.000), Si at (0.125, 0.000, 0.580), Ir at (0.433, 0.000, 0.651) and Au at (0.297, 0.500, 0.159).

For the energy above the most stable polymorph in this dataset, the calculation gives 0.003 eV per atom. The formation energy from raw total energies comes out at -208 meV per atom.

3.
Compound: IrRhW2
Source: the Alexandria database
Functional: PBE
Structure: optimized geometry

The structure belongs to space group F-43m (No. 216); the cell edges are 6.269, 6.269 and 6.269 Å and the angles 90.00°, 90.00° and 90.00°. The distinct sites, in fractional coordinates, are Ir at (0.000, 0.000, 0.000), Rh at (0.250, 0.250, 0.750), W at (0.000, 0.000, 0.500) and W at (0.250, 0.250, 0.250).

For the energy above the most stable polymorph in this dataset, the calculation gives 0.366 eV per atom.

4.
Compound: LaTe2NCl
Source: the Alexandria database
Functional: PBE
Structure: optimized geometry

The structure belongs to space group P4/mmm (No. 123); the cell edges are 5.430, 5.430 and 4.318 Å and the angles 90.00°, 90.00° and 90.00°. The distinct sites, in fractional coordinates, are La at (0.000, 0.000, 0.000), Te at (0.000, 0.500, 0.500), N at (0.500, 0.500, 0.000) and Cl at (0.500, 0.500, 0.500).

For the energy above the most stable polymorph in this dataset, the calculation gives 0.109 eV per atom. The formation energy from raw total energies comes out at 412 meV per atom.

5.
Compound: LiYBe2
Source: the Alexandria database
Functional: PBE
Structure: optimized geometry

The structure belongs to space group I4_1/amd (No. 141, origin choice 2); the cell edges are 4.136, 4.136 and 16.366 Å and the angles 90.00°, 90.00° and 90.00°. The distinct sites, in fractional coordinates, are Li at (0.000, 0.250, 0.375), Y at (0.000, 0.250, 0.875) and Be at (0.000, 0.000, 0.500).

For the energy above the most stable polymorph in this dataset, the calculation gives 0.228 eV per atom.

6.
Compound: VGe2Rh
Source: the Alexandria database
Functional: PBE
Structure: optimized geometry

The structure belongs to space group R3m (No. 160, hexagonal axes); the cell edges are 4.0517, 4.0517 and 13.8667 Å and the angles 90.00°, 90.00° and 120.00°. The distinct sites, in fractional coordinates, are V at (0.0000, 0.0000, 0.0000), Ge at (0.0000, 0.0000, 0.5898), Ge at (0.0000, 0.0000, 0.7787) and Rh at (0.0000, 0.0000, 0.1920).

no.,electronic total energy (eV per atom)
1,-6.092
2,-5.954
3,-10.397
4,-3.865
5,-3.585
6,-6.619